{"formula": "Ti3NbGa2", "functional": "PBE", "state": "relaxed", "ef_ev_per_fu": -1.97, "lattice_angstrom": [[-3.233, -0.231, 0.549], [0.176, -3.265, -0.337], [1.586, -0.841, 8.989]], "species": ["Ti", "Ti", "Ti", "Nb", "Ga", "Ga"], "frac_coords": [[0.000, 0.000, 0.000], [0.000, 0.000, 0.669], [0.000, 0.000, 0.331], [0.500, 0.500, 0.500], [0.500, 0.500, 0.829], [0.500, 0.500, 0.171]]}



{"formula": "Ti5NbGa3", "functional": "PBE", "state": "relaxed", "ef_ev_per_fu": -0.36, "lattice_angstrom": [[-1.376, -6.206, 2.088], [5.111, -2.351, -3.622], [2.349, 5.154, 6.148]], "species": ["Ti", "Ti", "Ti", "Ti", "Ti", "Ti", "Ti", "Ti", "Ti", "Ti", "Nb", "Nb", "Ga", "Ga", "Ga", "Ga", "Ga", "Ga"], "frac_coords": [[0.076, 0.576, 0.726], [0.651, 0.151, 0.726], [0.151, 0.076, 0.726], [0.576, 0.651, 0.726], [0.924, 0.424, 0.274], [0.349, 0.849, 0.274], [0.849, 0.924, 0.274], [0.424, 0.349, 0.274], [0.500, 0.500, 0.000], [0.000, 0.000, 0.000], [0.750, 0.250, 0.500], [0.250, 0.750, 0.500], [0.620, 0.120, 0.000], [0.380, 0.880, 0.000], [0.880, 0.620, 0.000], [0.120, 0.380, 0.000], [0.250, 0.250, 0.500], [0.750, 0.750, 0.500]]}



{"formula": "Ti5NbGa2", "functional": "PBE", "state": "relaxed", "ef_ev_per_fu": -1.22, "lattice_angstrom": [[2.920, 0.000, 0.000], [1.460, 6.811, -0.621], [1.460, 1.457, 6.683]], "species": ["Ti", "Ti", "Ti", "Ti", "Ti", "Nb", "Ga", "Ga"], "frac_coords": [[0.000, 0.500, 0.500], [0.632, 0.594, 0.142], [0.368, 0.406, 0.858], [0.368, 0.858, 0.406], [0.632, 0.142, 0.594], [0.000, 0.000, 0.000], [0.738, 0.762, 0.762], [0.262, 0.238, 0.238]]}



{"formula": "Ti3NbGa3", "functional": "PBE", "state": "relaxed", "ef_ev_per_fu": -2.20, "lattice_angstrom": [[4.553, 0.000, 0.000], [0.000, 7.620, 0.000], [0.000, -3.810, 6.599]], "species": ["Ti", "Ti", "Ti", "Ti", "Ti", "Ti", "Nb", "Nb", "Ga", "Ga", "Ga", "Ga", "Ga", "Ga"], "frac_coords": [[0.250, 0.783, 0.764], [0.250, 0.236, 0.019], [0.250, 0.981, 0.217], [0.750, 0.217, 0.236], [0.750, 0.764, 0.981], [0.750, 0.019, 0.783], [0.250, 0.667, 0.333], [0.750, 0.333, 0.667], [0.750, 0.623, 0.543], [0.750, 0.457, 0.080], [0.750, 0.920, 0.377], [0.250, 0.377, 0.457], [0.250, 0.543, 0.920], [0.250, 0.080, 0.623]]}



{"formula": "Ti2Nb2Ga7", "functional": "PBE", "state": "relaxed", "ef_ev_per_fu": 2.35, "lattice_angstrom": [[-4.752, -2.452, -2.555], [3.567, -4.618, -2.206], [0.045, -2.525, 5.362]], "species": ["Ti", "Ti", "Nb", "Nb", "Ga", "Ga", "Ga", "Ga", "Ga", "Ga", "Ga"], "frac_coords": [[0.827, 0.500, 0.827], [0.173, 0.500, 0.173], [0.717, 0.000, 0.283], [0.283, 0.000, 0.717], [0.000, 0.298, 0.500], [0.500, 0.702, 0.000], [0.000, 0.702, 0.500], [0.500, 0.298, 0.000], [0.000, 0.000, 0.000], [0.500, 0.703, 0.500], [0.500, 0.297, 0.500]]}



{"formula": "TiNb5Ga3", "functional": "PBE", "state": "relaxed", "ef_ev_per_fu": 3.27, "lattice_angstrom": [[7.138, 0.555, 0.685], [2.488, 6.713, 0.685], [3.578, 2.702, 8.468]], "species": ["Ti", "Ti", "Nb", "Nb", "Nb", "Nb", "Nb", "Nb", "Nb", "Nb", "Nb", "Nb", "Ga", "Ga", "Ga", "Ga", "Ga", "Ga"], "frac_coords": [[0.153, 0.153, 0.623], [0.847, 0.847, 0.377], [0.877, 0.282, 0.206], [0.330, 0.670, 0.000], [0.733, 0.733, 0.046], [0.440, 0.440, 0.313], [0.560, 0.560, 0.687], [0.267, 0.267, 0.954], [0.282, 0.877, 0.206], [0.670, 0.330, 0.000], [0.123, 0.718, 0.794], [0.718, 0.123, 0.794], [0.746, 0.746, 0.745], [0.630, 0.630, 0.375], [0.000, 0.000, 0.000], [0.000, 0.000, 0.500], [0.254, 0.254, 0.255], [0.370, 0.370, 0.625]]}



{"formula": "TiNbGa2", "functional": "PBE", "state": "relaxed", "ef_ev_per_fu": -1.09, "lattice_angstrom": [[-1.343, -0.367, 3.152], [-3.042, -0.824, -1.392], [1.444, -5.324, -0.005]], "species": ["Nb", "Ga", "Ga", "Ti"], "frac_coords": [[0.500, 0.500, 0.000], [0.000, 0.000, 0.748], [0.000, 0.000, 0.252], [0.500, 0.500, 0.500]]}



{"formula": "Ti2Nb2Ga", "functional": "PBE", "state": "relaxed", "ef_ev_per_fu": -0.06, "lattice_angstrom": [[6.945, 0.000, 0.000], [0.000, 6.945, 0.000], [0.000, 0.000, 3.627]], "species": ["Nb", "Nb", "Nb", "Nb", "Ga", "Ga", "Ti", "Ti", "Ti", "Ti"], "frac_coords": [[0.171, 0.671, 0.500], [0.671, 0.829, 0.500], [0.829, 0.329, 0.500], [0.329, 0.171, 0.500], [0.000, 0.000, 0.000], [0.500, 0.500, 0.000], [0.366, 0.866, 0.000], [0.866, 0.634, 0.000], [0.634, 0.134, 0.000], [0.134, 0.366, 0.000]]}



{"formula": "TiNb6Ga5", "functional": "PBE", "state": "relaxed", "ef_ev_per_fu": -3.03, "lattice_angstrom": [[-4.079, -1.491, -0.009], [-2.477, -5.933, 7.122], [-2.810, 1.312, 6.578]], "species": ["Ti", "Nb", "Nb", "Nb", "Nb", "Nb", "Nb", "Ga", "Ga", "Ga", "Ga", "Ga"], "frac_coords": [[0.000, 0.000, 0.000], [0.745, 0.090, 0.330], [0.255, 0.580, 0.330], [0.237, 0.263, 0.000], [0.763, 0.737, 0.000], [0.745, 0.420, 0.670], [0.255, 0.910, 0.670], [0.500, 0.156, 0.687], [0.000, 0.322, 0.356], [0.500, 0.500, 0.000], [0.000, 0.678, 0.644], [0.500, 0.844, 0.313]]}



{"formula": "UTiNbGa", "functional": "PBE", "state": "relaxed", "ef_ev_per_fu": 0.21, "lattice_angstrom": [[-2.125, 3.424, -2.356], [-3.811, 2.035, 1.769], [0.213, 4.392, 1.566]], "species": ["Nb", "U", "Ga", "Ti"], "frac_coords": [[0.750, 0.750, 0.750], [0.000, 0.000, 0.000], [0.500, 0.500, 0.500], [0.250, 0.250, 0.250]]}



{"formula": "Ti5Nb2VGa2", "functional": "PBE", "state": "relaxed", "ef_ev_per_fu": -0.53, "lattice_angstrom": [[-3.178, 1.911, 0.242], [-3.608, -5.080, -7.259], [-3.403, -6.443, 6.200]], "species": ["Ti", "Ti", "Ti", "Ti", "Ti", "Ti", "Ti", "Ti", "Ti", "Ti", "Nb", "Nb", "Nb", "Nb", "V", "V", "Ga", "Ga", "Ga", "Ga"], "frac_coords": [[0.500, 0.188, 0.087], [0.500, 0.812, 0.913], [0.500, 0.087, 0.812], [0.500, 0.688, 0.413], [0.500, 0.913, 0.188], [0.500, 0.312, 0.587], [0.500, 0.587, 0.688], [0.500, 0.413, 0.312], [0.500, 0.500, 0.000], [0.500, 0.000, 0.500], [0.000, 0.668, 0.168], [0.000, 0.332, 0.832], [0.000, 0.168, 0.332], [0.000, 0.832, 0.668], [0.000, 0.000, 0.000], [0.000, 0.500, 0.500], [0.000, 0.129, 0.629], [0.000, 0.871, 0.371], [0.000, 0.629, 0.871], [0.000, 0.371, 0.129]]}



{"formula": "TiNb2ZnGa", "functional": "PBE", "state": "relaxed", "ef_ev_per_fu": 4.42, "lattice_angstrom": [[-1.322, 2.150, -4.001], [0.056, -4.014, -2.175], [-4.542, -0.679, 1.135]], "species": ["Nb", "Nb", "Zn", "Ga", "Ti"], "frac_coords": [[0.000, 0.000, 0.500], [0.500, 0.000, 0.000], [0.000, 0.000, 0.000], [0.500, 0.500, 0.500], [0.000, 0.500, 0.000]]}